DFT (PBE) results for a relaxed HfTiBiPt2 crystal.

```
data_HfTiBiPt2
_cell_length_a 4.9829
_cell_length_b 5.0240
_cell_length_c 4.9829
_cell_angle_alpha 90.00
_cell_angle_beta 90.00
_cell_angle_gamma 90.00
_symmetry_space_group_name_H-M 'P 1'
_symmetry_Int_Tables_number 1
loop_
_symmetry_equiv_pos_as_xyz
'x,y,z'
loop_
_atom_site_label
_atom_site_type_symbol
_atom_site_fract_x
_atom_site_fract_y
_atom_site_fract_z
Pt1 Pt 0.5000 0.0000 0.0000
Pt2 Pt 0.0000 0.0000 0.5000
Ti1 Ti 0.0000 0.5000 0.0000
Bi1 Bi 0.0000 0.0000 0.0000
Hf1 Hf 0.5000 0.5000 0.5000
```

Output
Symmetry = P4/mmm, No. 123
Uncorrected energy = -28.84 eV/f.u.
Size of the total moment = 1.099 μB/cell
Crystal system = tetragonal
N(E_F) = 0.618 states/eV/atom



DFT (PBE) results for a relaxed PuHf2Bi crystal.

```
data_PuHf2Bi
_cell_length_a 5.1065
_cell_length_b 5.1065
_cell_length_c 5.1067
_cell_angle_alpha 60.00
_cell_angle_beta 60.00
_cell_angle_gamma 60.00
_symmetry_space_group_name_H-M 'P 1'
_symmetry_Int_Tables_number 1
loop_
_symmetry_equiv_pos_as_xyz
'x,y,z'
loop_
_atom_site_label
_atom_site_type_symbol
_atom_site_fract_x
_atom_site_fract_y
_atom_site_fract_z
Hf1 Hf 0.7499 0.7499 0.7502
Hf2 Hf 0.2501 0.2501 0.2498
Bi1 Bi 0.0000 0.0000 0.0000
Pu1 Pu 0.5000 0.5000 0.5000
```

Output
Polymorph energy (0 for the lowest one) = 0.161 eV/atom
Symmetry = Fm-3m, No. 225
Uncorrected energy = -37.54 eV/f.u.
Size of the total moment = 6.884 μB/cell
Crystal system = cubic
N(E_F) = 2.706 states/eV/atom



DFT (PBE) results for a relaxed Pu2HfBi crystal.

```
data_Pu2HfBi
_cell_length_a 4.8456
_cell_length_b 4.5424
_cell_length_c 4.5424
_cell_angle_alpha 90.00
_cell_angle_beta 90.00
_cell_angle_gamma 90.00
_symmetry_space_group_name_H-M 'P 1'
_symmetry_Int_Tables_number 1
loop_
_symmetry_equiv_pos_as_xyz
'x,y,z'
loop_
_atom_site_label
_atom_site_type_symbol
_atom_site_fract_x
_atom_site_fract_y
_atom_site_fract_z
Hf1 Hf 0.5000 0.0000 0.0000
Pu1 Pu 0.0000 0.0000 0.5000
Pu2 Pu 0.0000 0.5000 0.0000
Bi1 Bi 0.5000 0.5000 0.5000
```

Output
Polymorph energy (0 for the lowest one) = 0.000 eV/atom
Symmetry = P4/mmm, No. 123
Uncorrected energy = -42.83 eV/f.u.
Size of the total moment = 11.255 μB/cell
Crystal system = tetragonal
N(E_F) = 2.329 states/eV/atom



DFT (PBE) results for a relaxed PuHfBi crystal.

```
data_PuHfBi
_cell_length_a 3.3663
_cell_length_b 3.5335
_cell_length_c 14.8891
_cell_angle_alpha 88.57
_cell_angle_beta 90.00
_cell_angle_gamma 118.45
_symmetry_space_group_name_H-M 'P 1'
_symmetry_Int_Tables_number 1
loop_
_symmetry_equiv_pos_as_xyz
'x,y,z'
loop_
_atom_site_label
_atom_site_type_symbol
_atom_site_fract_x
_atom_site_fract_y
_atom_site_fract_z
Hf1 Hf 0.6441 0.2882 0.2984
Hf2 Hf 0.3559 0.7118 0.7016
Pu1 Pu 0.3415 0.6830 0.4607
Pu2 Pu 0.6585 0.3170 0.5393
Bi1 Bi 0.6785 0.3571 0.8724
Bi2 Bi 0.3215 0.6429 0.1276
```

Output
Polymorph energy (0 for the lowest one) = 0.079 eV/atom
Symmetry = C2/m, No. 12
Uncorrected energy = -27.87 eV/f.u.
Size of the total moment = 0.000 μB/cell
Crystal system = monoclinic
N(E_F) = 1.188 states/eV/atom



DFT (PBE) results for a relaxed PuHfBi crystal.

```
data_PuHfBi
_cell_length_a 3.3573
_cell_length_b 5.2272
_cell_length_c 5.2272
_cell_angle_alpha 120.00
_cell_angle_beta 90.00
_cell_angle_gamma 90.00
_symmetry_space_group_name_H-M 'P 1'
_symmetry_Int_Tables_number 1
loop_
_symmetry_equiv_pos_as_xyz
'x,y,z'
loop_
_atom_site_label
_atom_site_type_symbol
_atom_site_fract_x
_atom_site_fract_y
_atom_site_fract_z
Hf1 Hf 0.1670 0.3333 0.6667
Bi1 Bi 0.1661 0.0000 0.0000
Pu1 Pu 0.6669 0.6667 0.3333
```

Output
Polymorph energy (0 for the lowest one) = 0.105 eV/atom
Symmetry = P-6m2, No. 187
Uncorrected energy = -27.79 eV/f.u.
Size of the total moment = 6.002 μB/cell
Crystal system = hexagonal
N(E_F) = 2.761 states/eV/atom



DFT (PBE) results for a relaxed PuHfBi crystal.

```
data_PuHfBi
_cell_length_a 3.2615
_cell_length_b 3.2615
_cell_length_c 7.7620
_cell_angle_alpha 102.13
_cell_angle_beta 102.13
_cell_angle_gamma 90.00
_symmetry_space_group_name_H-M 'P 1'
_symmetry_Int_Tables_number 1
loop_
_symmetry_equiv_pos_as_xyz
'x,y,z'
loop_
_atom_site_label
_atom_site_type_symbol
_atom_site_fract_x
_atom_site_fract_y
_atom_site_fract_z
Bi1 Bi 0.6736 0.6736 0.3472
Hf1 Hf 0.3358 0.3358 0.6715
Pu1 Pu 0.9906 0.9906 0.9813
```

Output
Polymorph energy (0 for the lowest one) = 0.000 eV/atom
Symmetry = I4mm, No. 107
Uncorrected energy = -28.10 eV/f.u.
Size of the total moment = 5.470 μB/cell
Crystal system = tetragonal
N(E_F) = 2.650 states/eV/atom



DFT (PBE) results for a relaxed PuHf2Bi crystal.

```
data_PuHf2Bi
_cell_length_a 4.4233
_cell_length_b 4.6301
_cell_length_c 4.6301
_cell_angle_alpha 90.00
_cell_angle_beta 90.00
_cell_angle_gamma 90.00
_symmetry_space_group_name_H-M 'P 1'
_symmetry_Int_Tables_number 1
loop_
_symmetry_equiv_pos_as_xyz
'x,y,z'
loop_
_atom_site_label
_atom_site_type_symbol
_atom_site_fract_x
_atom_site_fract_y
_atom_site_fract_z
Pu1 Pu 0.5000 0.0000 0.0000
Hf1 Hf 0.0000 0.5000 0.0000
Hf2 Hf 0.0000 0.0000 0.5000
Bi1 Bi 0.5000 0.5000 0.5000
```

Output
Polymorph energy (0 for the lowest one) = 0.000 eV/atom
Symmetry = P4/mmm, No. 123
Uncorrected energy = -38.18 eV/f.u.
Size of the total moment = 6.020 μB/cell
Crystal system = tetragonal
N(E_F) = 1.595 states/eV/atom



DFT (PBE) results for a relaxed PuHfBi3 crystal.

```
data_PuHfBi3
_cell_length_a 6.5248
_cell_length_b 6.6491
_cell_length_c 13.4127
_cell_angle_alpha 90.00
_cell_angle_beta 90.00
_cell_angle_gamma 90.00
_symmetry_space_group_name_H-M 'P 1'
_symmetry_Int_Tables_number 1
loop_
_symmetry_equiv_pos_as_xyz
'x,y,z'
loop_
_atom_site_label
_atom_site_type_symbol
_atom_site_fract_x
_atom_site_fract_y
_atom_site_fract_z
Bi1 Bi 0.2500 0.5067 0.7512
Bi2 Bi 0.5000 0.7500 0.5036
Bi3 Bi 0.7500 0.8756 0.0775
Bi4 Bi 0.2500 0.0067 0.2488
Bi5 Bi 0.7500 0.4933 0.2488
Bi6 Bi 0.5000 0.2500 0.4964
Bi7 Bi 0.2500 0.1244 0.9225
Bi8 Bi 0.2500 0.6244 0.0775
Bi9 Bi 0.0000 0.2500 0.4964
Bi10 Bi 0.0000 0.7500 0.5036
Bi11 Bi 0.7500 0.9933 0.7512
Bi12 Bi 0.7500 0.3756 0.9225
Pu1 Pu 0.2500 0.5098 0.3156
Pu2 Pu 0.7500 0.9902 0.3156
Pu3 Pu 0.2500 0.0098 0.6844
Pu4 Pu 0.7500 0.4902 0.6844
Hf1 Hf 0.5000 0.7500 0.8996
Hf2 Hf 0.0000 0.2500 0.1004
Hf3 Hf 0.0000 0.7500 0.8996
Hf4 Hf 0.5000 0.2500 0.1004
```

Output
Symmetry = Pbcm, No. 57
Uncorrected energy = -37.06 eV/f.u.
Size of the total moment = 21.902 μB/cell
Crystal system = orthorhombic
N(E_F) = 3.067 states/eV/atom



DFT (PBE) results for a relaxed Rb2HfBi crystal.

```
data_Rb2HfBi
_cell_length_a 13.6793
_cell_length_b 13.6793
_cell_length_c 10.0783
_cell_angle_alpha 47.26
_cell_angle_beta 47.26
_cell_angle_gamma 90.00
_symmetry_space_group_name_H-M 'P 1'
_symmetry_Int_Tables_number 1
loop_
_symmetry_equiv_pos_as_xyz
'x,y,z'
loop_
_atom_site_label
_atom_site_type_symbol
_atom_site_fract_x
_atom_site_fract_y
_atom_site_fract_z
Hf1 Hf 0.5000 0.5000 0.0000
Hf2 Hf 0.2500 0.7500 0.5000
Bi1 Bi 0.7500 0.2500 0.5000
Bi2 Bi 0.0000 0.0000 0.0000
Rb1 Rb 0.7845 0.1250 0.2500
Rb2 Rb 0.3750 0.2155 0.7500
Rb3 Rb 0.9655 0.6250 0.2500
Rb4 Rb 0.8750 0.0345 0.7500
```

Output
Symmetry = I-42d, No. 122
Uncorrected energy = -13.60 eV/f.u.
Size of the total moment = 1.999 μB/cell
Crystal system = tetragonal
N(E_F) = 0.102 states/eV/atom



DFT (PBE) results for a relaxed RbHfBi2 crystal.

```
data_RbHfBi2
_cell_length_a 7.1280
_cell_length_b 7.1280
_cell_length_c 9.9036
_cell_angle_alpha 68.91
_cell_angle_beta 68.91
_cell_angle_gamma 90.00
_symmetry_space_group_name_H-M 'P 1'
_symmetry_Int_Tables_number 1
loop_
_symmetry_equiv_pos_as_xyz
'x,y,z'
loop_
_atom_site_label
_atom_site_type_symbol
_atom_site_fract_x
_atom_site_fract_y
_atom_site_fract_z
Bi1 Bi 0.8665 0.1250 0.2500
Bi2 Bi 0.8750 0.1165 0.7500
Bi3 Bi 0.8835 0.6250 0.2500
Bi4 Bi 0.3750 0.1335 0.7500
Hf1 Hf 0.7500 0.2500 0.5000
Hf2 Hf 0.0000 0.0000 0.0000
Rb1 Rb 0.2500 0.7500 0.5000
Rb2 Rb 0.5000 0.5000 0.0000
```

Output
Polymorph energy (0 for the lowest one) = 0.254 eV/atom
Symmetry = I-42d, No. 122
Uncorrected energy = -18.38 eV/f.u.
Size of the total moment = 0.000 μB/cell
Crystal system = tetragonal
N(E_F) = 0.368 states/eV/atom



DFT (PBE) results for a relaxed RbHfBi2 crystal.

```
data_RbHfBi2
_cell_length_a 3.5427
_cell_length_b 3.5427
_cell_length_c 9.8023
_cell_angle_alpha 90.00
_cell_angle_beta 90.00
_cell_angle_gamma 90.00
_symmetry_space_group_name_H-M 'P 1'
_symmetry_Int_Tables_number 1
loop_
_symmetry_equiv_pos_as_xyz
'x,y,z'
loop_
_atom_site_label
_atom_site_type_symbol
_atom_site_fract_x
_atom_site_fract_y
_atom_site_fract_z
Bi1 Bi 0.0000 0.0000 0.2039
Bi2 Bi 0.0000 0.0000 0.7961
Rb1 Rb 0.5000 0.5000 0.5000
Hf1 Hf 0.5000 0.5000 0.0000
```

Output
Polymorph energy (0 for the lowest one) = 0.016 eV/atom
Symmetry = P4/mmm, No. 123
Uncorrected energy = -19.34 eV/f.u.
Size of the total moment = 0.000 μB/cell
Crystal system = tetragonal
N(E_F) = 0.548 states/eV/atom



DFT (PBE) results for a relaxed RbHfBi crystal.

```
data_RbHfBi
_cell_length_a 4.6150
_cell_length_b 4.6150
_cell_length_c 11.3918
_cell_angle_alpha 90.00
_cell_angle_beta 90.00
_cell_angle_gamma 90.00
_symmetry_space_group_name_H-M 'P 1'
_symmetry_Int_Tables_number 1
loop_
_symmetry_equiv_pos_as_xyz
'x,y,z'
loop_
_atom_site_label
_atom_site_type_symbol
_atom_site_fract_x
_atom_site_fract_y
_atom_site_fract_z
Bi1 Bi 0.5000 0.0000 0.6694
Bi2 Bi 0.0000 0.5000 0.3306
Hf1 Hf 0.0000 0.0000 0.5000
Hf2 Hf 0.5000 0.5000 0.5000
Rb1 Rb 0.0000 0.5000 0.8253
Rb2 Rb 0.5000 0.0000 0.1747
```

Output
Symmetry = P4/nmm, No. 129
Uncorrected energy = -15.07 eV/f.u.
Size of the total moment = 0.000 μB/cell
Crystal system = tetragonal
N(E_F) = 0.995 states/eV/atom